(1)
A relaxed La4HI5 crystal, computed with PBE-GGA.

Computed properties:
Energy = -41.84 eV for the cell shown
DOS at the Fermi energy = 0.6083 states/eV/atom
SG = C2/m
Calculated volume = 356 Å³/cell
Theoretical density = 5.56 Mg/m³

Cell: 4.150 9.185 9.802 Å, 102.82 102.22 90.00°
Fractional coordinates of all 10 atoms:
La  0.363  0.930  0.725
La  0.002  0.791  0.004
La  0.637  0.070  0.275
La  0.998  0.209  0.996
H  0.500  0.000  0.000
I  0.833  0.653  0.665
I  0.824  0.178  0.648
I  0.176  0.822  0.352
I  0.500  0.500  0.000
I  0.167  0.347  0.335

***

(2)
A relaxed La2H2I crystal, computed with PBE-GGA.

Computed properties:
Energy = -43.90 eV for the cell shown
DOS at the Fermi energy = 0.6210 states/eV/atom
SG = C2/m
Calculated volume = 223 Å³/cell
Polymorph energy (0 for the lowest one) = 0 meV per atom
Theoretical density = 6.05 Mg/m³

Cell: 4.054 7.038 8.829 Å, 113.71 103.27 90.00°
Fractional coordinates of all 10 atoms:
La  0.900  0.233  0.300
La  0.400  0.733  0.300
La  0.100  0.767  0.700
La  0.600  0.267  0.700
H  0.054  0.387  0.607
H  0.447  0.113  0.393
H  0.946  0.613  0.393
H  0.553  0.887  0.607
I  0.750  0.750  0.000
I  0.250  0.250  0.000

***

(3)
A relaxed La2HI crystal, computed with PBE-GGA.

Computed properties:
Energy = -34.44 eV for the cell shown
DOS at the Fermi energy = 0.7622 states/eV/atom
SG = I-42d
Calculated volume = 210 Å³/cell
Polymorph energy (0 for the lowest one) = 76 meV per atom
Theoretical density = 6.41 Mg/m³

Cell: 7.532 7.532 6.488 Å, 54.52 54.52 90.00°
Fractional coordinates of all 8 atoms:
I  0.000  0.000  0.000
I  0.750  0.250  0.500
H  0.500  0.500  0.000
H  0.250  0.750  0.500
La  0.519  0.125  0.250
La  0.231  0.625  0.250
La  0.375  0.481  0.750
La  0.875  0.769  0.750

***

(4)
A relaxed LaH2IN crystal, computed with PBE-GGA.

Computed properties:
Energy = -20.72 eV for the cell shown
DOS at the Fermi energy = 0.1748 states/eV/atom
SG = P4/mmm
Calculated volume = 102 Å³/cell
Theoretical density = 4.61 Mg/m³

Cell: 3.745 7.241 3.745 Å, 90.00 90.00 90.00°
Fractional coordinates of all 5 atoms:
I  0.000  0.000  0.000
H  0.000  0.000  0.500
H  0.500  0.000  0.000
N  0.500  0.500  0.500
La  0.000  0.500  0.000

***

(5)
A relaxed La6Ni2HI3 crystal, computed with PBE-GGA.

Computed properties:
Energy = -57.41 eV for the cell shown
DOS at the Fermi energy = 1.1292 states/eV/atom
SG = C2/m
Calculated volume = 365 Å³/cell
Theoretical density = 6.07 Mg/m³

Cell: 7.217 7.217 8.426 Å, 98.28 98.28 119.84°
Fractional coordinates of all 12 atoms:
La  0.939  0.598  0.813
La  0.721  0.721  0.187
La  0.061  0.402  0.187
La  0.598  0.939  0.813
La  0.279  0.279  0.813
La  0.402  0.061  0.187
Ni  0.334  0.666  0.000
Ni  0.666  0.334  0.000
H  0.000  0.000  0.000
I  0.167  0.833  0.500
I  0.833  0.167  0.500
I  0.500  0.500  0.500

***

(6)
A relaxed LaH2IO2 crystal, computed with PBE-GGA.

Computed properties:
Energy = -68.39 eV for the cell shown
DOS at the Fermi energy = 0.0000 states/eV/atom
SG = P2_1/m
Calculated volume = 245 Å³/cell
Theoretical density = 4.07 Mg/m³

Cell: 4.297 8.508 8.056 Å, 123.76 90.00 90.00°
Fractional coordinates of all 12 atoms:
La  0.750  0.203  0.647
La  0.250  0.797  0.353
H  0.569  0.291  0.317
H  0.931  0.291  0.317
H  0.069  0.709  0.683
H  0.431  0.709  0.683
I  0.250  0.296  0.041
I  0.750  0.704  0.959
O  0.250  0.117  0.519
O  0.250  0.698  0.602
O  0.750  0.883  0.481
O  0.750  0.302  0.398

***

Q: Among the records above, which one has the lowest DOS at the Fermi energy?
A: LaH2IO2

***

Q: Look up the calculated volume of the fourth one.
A: 102 Å³/cell

***

Q: The lowest calculated volume belongs to which entry?
A: LaH2IN